Record 1
PBE CdTcTeI2, relaxed; offset from the most stable computed form = 0.00 eV per formula unit; space group = No. 123
1.0
5.6594 0.0000 0.0000
0.0000 5.6594 0.0000
0.0000 0.0000 5.1031
Cd Tc Te I
1 1 1 2
Direct
0.0000 0.0000 0.0000
0.5000 0.5000 0.5000
0.5000 0.5000 0.0000
0.0000 0.5000 0.5000
0.5000 0.0000 0.5000



Record 2
PBE CaSi, relaxed; space group = No. 44
1.0
-2.2792 6.4840 2.8869
2.2792 -6.4840 2.8869
2.2792 6.4840 -2.8869
Ca Si
3 3
Direct
0.0000 0.0000 0.0000
0.4579 0.1637 0.2943
0.8694 0.1637 0.7057
0.0194 0.6625 0.3569
0.3056 0.6625 0.6431
0.4060 0.9060 0.5000



Record 3
PBE AlTcBr2, relaxed; offset from the most stable computed form = 3.26 eV per formula unit; space group = No. 12
1.0
3.2139 -4.5553 0.0000
3.2139 4.5553 0.0000
-1.7047 0.0000 2.9116
Al Tc Br
1 1 2
Direct
0.0000 0.0000 0.0000
0.5000 0.5000 0.0000
0.0000 0.5000 0.0000
0.5000 0.0000 0.0000



Per-record N(E_F), states/eV/f.u.: 4.4 1.5 2.3
Per-record spin magnetization, μB per formula unit: 0.81 0.00 2.88
Per-record energy relative to the elements, uncorrected, eV per atom: 0.347 -0.272 0.613